Computed, not measured: a PBEsol-optimized structure of ScSi2Rh at the meta-GGA SCAN level of DFT.

Calculated values
calculated volume = 14.8 Å³/atom
space-group type = No. 225
energy relative to the elements, uncorrected = -458 meV/atom
E_tot = -17.468 eV/atom

Cell: 6.181 6.181 6.181 Å, 90.00 90.00 90.00°
Positions (direct):
1 Sc 0.000 0.000 0.000
2 Sc 0.000 0.500 0.500
3 Sc 0.500 0.000 0.500
4 Sc 0.500 0.500 0.000
5 Si 0.250 0.250 0.250
6 Si 0.250 0.250 0.750
7 Si 0.250 0.750 0.250
8 Si 0.250 0.750 0.750
9 Si 0.750 0.250 0.250
10 Si 0.750 0.250 0.750
11 Si 0.750 0.750 0.250
12 Si 0.750 0.750 0.750
13 Rh 0.000 0.000 0.500
14 Rh 0.000 0.500 0.000
15 Rh 0.500 0.000 0.000
16 Rh 0.500 0.500 0.500

***

Computed, not measured: a PBEsol-optimized structure of Nb3I8 at the meta-GGA SCAN level of DFT.

Calculated values
calculated volume = 31.1 Å³/atom
space-group type = No. 166
energy relative to the elements, uncorrected = -553 meV/atom
E_tot = -36.309 eV/atom

Cell: 14.537 14.537 14.537 Å, 30.07 30.07 30.07°
Positions (direct):
1 Nb 0.153 0.548 0.548
2 Nb 0.452 0.452 0.847
3 Nb 0.452 0.847 0.452
4 Nb 0.548 0.153 0.548
5 Nb 0.548 0.548 0.153
6 Nb 0.847 0.452 0.452
7 I 0.117 0.117 0.628
8 I 0.117 0.628 0.117
9 I 0.205 0.706 0.706
10 I 0.216 0.216 0.216
11 I 0.294 0.294 0.795
12 I 0.294 0.795 0.294
13 I 0.365 0.365 0.365
14 I 0.372 0.883 0.883
15 I 0.628 0.117 0.117
16 I 0.635 0.635 0.635
17 I 0.706 0.205 0.706
18 I 0.706 0.706 0.205
19 I 0.784 0.784 0.784
20 I 0.795 0.294 0.294
21 I 0.883 0.372 0.883
22 I 0.883 0.883 0.372

***

Computed, not measured: a PBEsol-optimized structure of Sr2Hg at the meta-GGA SCAN level of DFT.

Calculated values
calculated volume = 36.6 Å³/atom
energy of formation = -0.42 eV/atom
space-group type = No. 227
E_tot = -37.991 eV/atom

Cell: 10.748 10.748 10.748 Å, 60.00 60.00 60.00°
Positions (direct):
1 Sr 0.000 0.000 0.000
2 Sr 0.000 0.000 0.500
3 Sr 0.000 0.500 0.000
4 Sr 0.184 0.184 0.566
5 Sr 0.184 0.566 0.184
6 Sr 0.184 0.566 0.566
7 Sr 0.434 0.434 0.816
8 Sr 0.434 0.816 0.434
9 Sr 0.434 0.816 0.816
10 Sr 0.500 0.000 0.000
11 Sr 0.566 0.184 0.184
12 Sr 0.566 0.184 0.566
13 Sr 0.566 0.566 0.184
14 Sr 0.816 0.434 0.434
15 Sr 0.816 0.434 0.816
16 Sr 0.816 0.816 0.434
17 Hg 0.160 0.780 0.780
18 Hg 0.220 0.220 0.220
19 Hg 0.220 0.220 0.840
20 Hg 0.220 0.840 0.220
21 Hg 0.780 0.160 0.780
22 Hg 0.780 0.780 0.160
23 Hg 0.780 0.780 0.780
24 Hg 0.840 0.220 0.220

***

Computed, not measured: a PBEsol-optimized structure of LiPdI2O at the meta-GGA SCAN level of DFT.

Calculated values
calculated volume = 23.6 Å³/atom
space-group type = No. 123
energy relative to the elements, uncorrected = -448 meV/atom
E_tot = -23.424 eV/atom

Cell: 5.536 5.536 3.854 Å, 90.00 90.00 90.00°
Positions (direct):
1 Li 0.000 0.000 0.000
2 Pd 0.500 0.500 0.500
3 I 0.000 0.500 0.500
4 I 0.500 0.000 0.500
5 O 0.500 0.500 0.000

***

Look up the calculated volume of the second one. 31.1 Å³/atom